Crystalline InSnAs at its relaxed geometry, computed with GGA-PBE.

It has space group R3 (No. 146, hexagonal axes), with a = 6.8577 Å, b = 6.8577 Å, c = 18.5921 Å, α = 90.00°, β = 90.00° and γ = 120.00°. The inequivalent atoms are In at (0.0064, 0.7182, 0.0000), Sn at (0.0661, 0.3354, 0.5219), As at (0.0000, 0.0000, 0.2135), As at (0.0000, 0.0000, 0.4248) and As at (0.0000, 0.0000, 0.7518).

As for the energy relative to the elements: 42.3 meV per atom. The value obtained for the size of the total moment is 0.00 μB/f.u. The value obtained for the energy above the most stable polymorph in this dataset is 99 meV/atom.